# LaPm5Sm2Dy

A relaxed structure of LaPm5Sm2Dy (GGA-PBE, Alexandria).

## Properties
* density: 7.04 g cm⁻³
* total energy: -40.300 eV per formula unit

a = 8.9493 Å, b = 8.9493 Å, c = 15.6280 Å
α = 90.00°, β = 90.00°, γ = 90.00°
Closest atoms and distances in Å follow each position.
Space group I4/mcm (No. 140)
One atom of each set of equivalent atoms:
La: 0.0000 0.0000 0.2500 (multiplicity 4)  10 Pm 3.67-3.91
Pm: 0.0000 0.0000 0.0000 (multiplicity 4)  4 Sm 3.59, 8 Pm 3.85, 2 La 3.91
Pm: 0.2068 0.2932 0.1361 (multiplicity 16)  1 Sm 3.09, 1 Dy 3.16
Sm: 0.1161 0.3839 0.5000 (multiplicity 8)  1 Sm 2.94, 2 Pm 3.09
Dy: 0.0000 0.5000 0.2500 (multiplicity 4)  4 Pm 3.16